No. 1
VASP calculation (PBE-GGA) on a relaxed Ba2Sr3CaMg2Si4O16 crystal.

Cell and atoms, written as POSCAR:
```
Ba2Sr3CaMg2Si4O16
1.0
5.547 0.000 0.000
-2.773 4.804 0.000
0.000 0.000 14.067
Ba Sr Ca Mg Si O
2 3 1 2 4 16
Cartesian
0.000 0.000 0.000
0.000 0.000 7.000
0.000 3.203 9.393
2.773 1.601 4.613
2.773 1.601 11.678
0.000 3.203 2.310
0.000 0.000 3.471
0.000 0.000 10.557
0.000 3.203 5.363
0.000 3.203 12.487
2.773 1.601 1.581
2.773 1.601 8.632
0.000 1.683 4.708
0.000 1.684 11.818
-1.316 3.962 4.708
-1.315 3.962 11.818
0.000 3.203 0.050
0.000 3.203 6.985
1.457 0.841 2.241
1.455 0.840 9.293
1.315 3.962 11.818
1.316 3.962 4.708
2.773 1.601 7.016
2.773 1.601 14.036
4.090 0.841 2.241
4.092 0.840 9.293
2.773 3.121 2.241
2.773 3.124 9.293
```

total magnetic moment: 0.000 μB per atom
symmetry: P3m1, No. 156
energy: -7.09 eV/atom

---

No. 2
VASP calculation (PBE-GGA) on a relaxed BaCa2MgP crystal.

Cell and atoms, written as POSCAR:
```
BaCa2MgP
1.0
5.538 0.000 0.000
0.000 5.538 0.000
0.000 0.000 6.355
Ba Ca Mg P
1 2 1 1
Cartesian
0.000 0.000 0.000
0.000 2.769 3.177
2.769 0.000 3.177
2.769 2.769 0.000
0.000 0.000 3.177
```

E_form: -0.4489 eV/atom
total magnetic moment: 0.000 μB per atom
symmetry: P4/mmm, No. 123
energy: -3.03 eV/atom

---

No. 3
VASP calculation (PBE-GGA) on a relaxed Ba2CaMgP crystal.

Cell and atoms, written as POSCAR:
```
Ba2CaMgP
1.0
6.334 0.000 0.000
0.000 6.334 0.000
0.000 0.000 5.508
Ba Ca Mg P
2 1 1 1
Cartesian
0.000 3.167 0.000
3.167 0.000 0.000
0.000 0.000 2.754
3.167 3.167 2.754
0.000 0.000 0.000
```

E_form: -0.4274 eV/atom
total magnetic moment: 0.236 μB per atom
symmetry: P4/mmm, No. 123
energy: -3.00 eV/atom

---

No. 4
VASP calculation (PBE-GGA) on a relaxed BaCaMg2Pb2 crystal.

Cell and atoms, written as POSCAR:
```
BaCaMg2Pb2
1.0
5.099 0.000 0.000
-2.550 4.416 0.000
0.000 0.000 8.388
Ba Ca Mg Pb
1 1 2 2
Cartesian
0.000 0.000 0.000
0.000 0.000 4.194
0.000 2.944 5.644
2.550 1.472 2.744
0.000 2.944 2.275
2.550 1.472 6.113
```

E_form: -0.4381 eV/atom
total magnetic moment: 0.000 μB per atom
symmetry: P-3m1, No. 164
energy: -2.86 eV/atom